{
  "formula": "Re2AsI",
  "functional": "GGA-PBE",
  "state": "relaxed",
  "raw_formation_energy_ev_per_atom": 1.33,
  "de_polymorph_mev_per_atom": 229,
  "crystal_system": "tetragonal",
  "lattice": [[-2.8706, 2.8706, 5.7617], [2.8706, -2.8706, 5.7617], [2.8706, 2.8706, -5.7617]],
  "species": ["Re", "Re", "Re", "Re", "As", "As", "I", "I"],
  "fractional_positions": [[0.0999, 0.6250, 0.9749], [0.3750, 0.3499, 0.4749], [0.6501, 0.1250, 0.0251], [0.8750, 0.9001, 0.5251], [0.0000, 0.0000, 0.0000], [0.7500, 0.2500, 0.5000], [0.2500, 0.7500, 0.5000], [0.5000, 0.5000, 0.0000]]
}

***

{
  "formula": "SrBTe2S6",
  "functional": "GGA-PBE",
  "state": "relaxed",
  "raw_formation_energy_ev_per_atom": -0.35,
  "crystal_system": "monoclinic",
  "lattice": [[6.6501, -6.9072, 0.0000], [6.6501, 6.9072, 0.0000], [-3.5867, 0.0000, 6.4677]],
  "species": ["Sr", "Sr", "B", "B", "Te", "Te", "Te", "Te", "S", "S", "S", "S", "S", "S", "S", "S", "S", "S", "S", "S"],
  "fractional_positions": [[0.1382, 0.8618, 0.7500], [0.8618, 0.1382, 0.2500], [0.1426, 0.8574, 0.2500], [0.8574, 0.1426, 0.7500], [0.2007, 0.3804, 0.0361], [0.3804, 0.2007, 0.5361], [0.6196, 0.7993, 0.4639], [0.7993, 0.6196, 0.9639], [0.0403, 0.1527, 0.9842], [0.1118, 0.6879, 0.3192], [0.1527, 0.0403, 0.4842], [0.2878, 0.4039, 0.4652], [0.3121, 0.8882, 0.1808], [0.4039, 0.2878, 0.9652], [0.5961, 0.7122, 0.0348], [0.6879, 0.1118, 0.8192], [0.7122, 0.5961, 0.5348], [0.8473, 0.9597, 0.5158], [0.8882, 0.3121, 0.6808], [0.9597, 0.8473, 0.0158]]
}

***

{
  "formula": "SmH7Os2",
  "functional": "GGA-PBE",
  "state": "relaxed",
  "total_energy_ev_per_cell": -50.80,
  "crystal_system": "orthorhombic",
  "lattice": [[2.6953, -4.6454, 0.0000], [2.6953, 4.6454, 0.0000], [0.0000, 0.0000, 3.3053]],
  "species": ["Sm", "H", "H", "H", "H", "H", "H", "H", "Os", "Os"],
  "fractional_positions": [[0.0000, 0.0000, 0.0000], [0.0366, 0.3285, 0.5000], [0.3285, 0.0366, 0.5000], [0.3755, 0.6245, 0.0000], [0.5000, 0.5000, 0.5000], [0.6245, 0.3755, 0.0000], [0.6715, 0.9634, 0.5000], [0.9634, 0.6715, 0.5000], [0.3136, 0.6864, 0.5000], [0.6864, 0.3136, 0.5000]]
}

***

{
  "formula": "TiNi6Sb",
  "functional": "GGA-PBE",
  "state": "relaxed",
  "raw_formation_energy_ev_per_atom": -0.31,
  "de_polymorph_mev_per_atom": 0,
  "crystal_system": "tetragonal",
  "lattice": [[3.6799, 0.0000, 0.0000], [0.0000, 3.6799, 0.0000], [0.0000, 0.0000, 7.3095]],
  "species": ["Ti", "Ni", "Ni", "Ni", "Ni", "Ni", "Ni", "Sb"],
  "fractional_positions": [[0.0000, 0.0000, 0.0000], [0.0000, 0.5000, 0.2400], [0.0000, 0.5000, 0.7600], [0.5000, 0.0000, 0.2400], [0.5000, 0.0000, 0.7600], [0.5000, 0.5000, 0.0000], [0.5000, 0.5000, 0.5000], [0.0000, 0.0000, 0.5000]]
}

***

{
  "formula": "CeHo3C2",
  "functional": "GGA-PBE",
  "state": "relaxed",
  "delta_e_f_ev_per_fu": -1.49,
  "crystal_system": "monoclinic",
  "lattice": [[8.1113, -1.7808, 0.0000], [8.1113, 1.7808, 0.0000], [-8.0501, 0.0000, 9.4039]],
  "species": ["Ce", "Ce", "Ho", "Ho", "Ho", "Ho", "Ho", "Ho", "C", "C", "C", "C"],
  "fractional_positions": [[0.1390, 0.1390, 0.1966], [0.8610, 0.8610, 0.8034], [0.1374, 0.1374, 0.6963], [0.3576, 0.3576, 0.0487], [0.3603, 0.3603, 0.5534], [0.6397, 0.6397, 0.4466], [0.6424, 0.6424, 0.9513], [0.8626, 0.8626, 0.3037], [0.2491, 0.2491, 0.6251], [0.2527, 0.2527, 0.1281], [0.7473, 0.7473, 0.8719], [0.7509, 0.7509, 0.3749]]
}

***

{
  "formula": "NaSr3Cd",
  "functional": "GGA-PBE",
  "state": "relaxed",
  "delta_e_f_ev_per_fu": 1.90,
  "de_polymorph_mev_per_atom": 481,
  "crystal_system": "cubic",
  "lattice": [[6.4309, 0.0000, 0.0000], [0.0000, 6.4309, 0.0000], [0.0000, 0.0000, 6.4309]],
  "species": ["Na", "Sr", "Sr", "Sr", "Cd"],
  "fractional_positions": [[0.0000, 0.0000, 0.0000], [0.0000, 0.0000, 0.5000], [0.0000, 0.5000, 0.0000], [0.5000, 0.0000, 0.0000], [0.5000, 0.5000, 0.5000]]
}

***

{
  "formula": "CoSi2Ni",
  "functional": "GGA-PBE",
  "state": "relaxed",
  "raw_formation_energy_ev_per_atom": 0.11,
  "crystal_system": "tetragonal",
  "lattice": [[-3.1344, 3.1344, 2.5735], [3.1344, -3.1344, 2.5735], [3.1344, 3.1344, -2.5735]],
  "species": ["Co", "Co", "Si", "Si", "Si", "Si", "Ni", "Ni"],
  "fractional_positions": [[0.0000, 0.0000, 0.0000], [0.7500, 0.2500, 0.5000], [0.1202, 0.1250, 0.4952], [0.3750, 0.8798, 0.0048], [0.6298, 0.6250, 0.5048], [0.8750, 0.3702, 0.9952], [0.2500, 0.7500, 0.5000], [0.5000, 0.5000, 0.0000]]
}

***

{
  "formula": "KCaW",
  "functional": "GGA-PBE",
  "state": "relaxed",
  "delta_e_f_ev_per_fu": 3.50,
  "de_polymorph_mev_per_atom": 0,
  "crystal_system": "orthorhombic",
  "lattice": [[0.0000, 2.1292, 9.2313], [2.1077, 0.0000, 9.2313], [2.1077, 2.1292, 0.0000]],
  "species": ["K", "Ca", "W"],
  "fractional_positions": [[0.0000, 0.0000, 0.0000], [0.7121, 0.7121, 0.2879], [0.3374, 0.3374, 0.6626]]
}